A plane-wave DFT calculation with PBE-GGA was carried out for CaNi3B after structural relaxation.

Structure (POSCAR):
```
CaNi3B
1.0
5.618 0.000 0.000
-2.809 4.866 0.000
0.000 0.000 9.452
Ca Ni B
4 12 4
direct
0.000 0.000 0.000
0.000 0.000 0.500
0.333 0.667 0.250
0.667 0.333 0.750
0.000 0.500 0.000
0.000 0.500 0.500
0.167 0.334 0.750
0.167 0.833 0.750
0.334 0.167 0.250
0.500 0.000 0.000
0.500 0.000 0.500
0.500 0.500 0.000
0.500 0.500 0.500
0.666 0.833 0.750
0.833 0.167 0.250
0.833 0.666 0.250
0.333 0.667 0.627
0.333 0.667 0.873
0.667 0.333 0.127
0.667 0.333 0.373
```

Results
- final energy (eV/atom) = -5.383
- offset from the most stable computed form (meV per atom) = 36
- crystal system = hexagonal
- ΔH_f (0 K) (eV per formula unit) = -0.89